Material: FeCoN2F
Method: DFT, GGA+U
State: relaxed

Summary:
The density of states at the Fermi level comes out at 0.198 states/eV/atom. For the total energy, the calculation gives -26.1 eV/cell.

Unit cell a=3.7866 b=3.7866 c=3.9764 alpha=90.00 beta=90.00 gamma=90.00
With the nearest neighbours (Å) after each atom.
Element x y z (fractional)
1 N 0.0000 0.5000 0.0000  2 Fe 1.89
2 N 0.5000 0.0000 0.0000  2 Fe 1.89
3 Co 0.5000 0.5000 0.5000  4 F 2.68, 8 N 2.75
4 Fe 0.0000 0.0000 0.0000  4 N 1.89, 2 F 1.99
5 F 0.0000 0.0000 0.5000  2 Fe 1.99